Compound: Y2VReS
Source: Alexandria
Functional: PBE-GGA
Structure: relaxed

Properties
As for the calculated volume: 26.9 Å³/atom. The space group is P4/mmm. As for the energy relative to the elements, uncorrected: 372 meV per atom.

Cell lengths 5.4868, 4.4598, 5.4868 Å; angles 90.00, 90.00, 90.00 degrees
Each line ends with the local moment (μB).
Fractional positions:
V (0.0000, 0.5000, 0.0000)  0.94
Y (0.0000, 0.0000, 0.5000)  0.05
Re (0.0000, 0.0000, 0.0000)  -0.24
S (0.5000, 0.5000, 0.5000)  0.00
Y (0.5000, 0.0000, 0.0000)  0.03